This record from Alexandria via LeMat-Bulk describes a PBEsol-optimized structure of BeAlRu2. The functional is meta-GGA SCAN.

Cell and atoms, written as POSCAR:
```
BeAlRu2
1.0
2.919 0.000 0.000
0.000 4.389 0.000
0.000 0.000 7.643
Be Al Ru
2 2 4
direct
0.000 0.000 0.000
0.500 0.500 0.500
0.000 0.000 0.500
0.500 0.500 0.000
0.000 0.500 0.279
0.000 0.500 0.721
0.500 0.000 0.221
0.500 0.000 0.779
```

Computed properties:
The total energy is -20.80 eV per atom. The value obtained for the formation energy is -0.357 eV per atom.

This record from Alexandria via LeMat-Bulk describes a PBEsol-optimized structure of Be2AlRu. The functional is meta-GGA SCAN.

Cell and atoms, written as POSCAR:
```
Be2AlRu
1.0
3.035 0.000 0.000
0.000 3.713 0.000
0.000 0.000 7.669
Be Al Ru
4 2 2
direct
0.000 0.000 0.000
0.000 0.500 0.274
0.500 0.000 0.774
0.500 0.500 0.500
0.000 0.000 0.510
0.500 0.500 0.010
0.000 0.500 0.745
0.500 0.000 0.245
```

Computed properties:
The total energy is -13.33 eV per atom. The value obtained for the formation energy is -0.506 eV per atom.

This record from Alexandria via LeMat-Bulk describes a PBEsol-optimized structure of Be4AlRu. The functional is meta-GGA SCAN.

Cell and atoms, written as POSCAR:
```
Be4AlRu
1.0
0.000 3.045 3.045
3.045 0.000 3.045
3.045 3.045 0.000
Be Al Ru
4 1 1
direct
0.377 0.377 0.377
0.377 0.377 0.870
0.377 0.870 0.377
0.870 0.377 0.377
0.000 0.000 0.000
0.750 0.750 0.750
```

Computed properties:
The total energy is -10.46 eV per atom. The value obtained for the formation energy is -0.463 eV per atom.

This record from Alexandria via LeMat-Bulk describes a PBEsol-optimized structure of BeAlRu. The functional is meta-GGA SCAN.

Cell and atoms, written as POSCAR:
```
BeAlRu
1.0
5.522 0.000 0.000
0.000 5.522 0.000
0.000 0.000 5.522
Be Al Ru
4 4 4
direct
0.000 0.000 0.000
0.000 0.500 0.500
0.500 0.000 0.500
0.500 0.500 0.000
0.250 0.250 0.250
0.250 0.750 0.750
0.750 0.250 0.750
0.750 0.750 0.250
0.000 0.000 0.500
0.000 0.500 0.000
0.500 0.000 0.000
0.500 0.500 0.500
```

Computed properties:
The total energy is -15.50 eV per atom. The value obtained for the formation energy is 0.145 eV per atom.

This record from Alexandria via LeMat-Bulk describes a PBEsol-optimized structure of BeAlRu2. The functional is meta-GGA SCAN.

Cell and atoms, written as POSCAR:
```
BeAlRu2
1.0
5.283 0.000 0.000
0.000 7.685 0.000
-1.069 0.000 2.461
Be Al Ru
2 2 4
direct
0.000 0.000 0.000
0.500 0.500 0.000
0.000 0.500 0.000
0.500 0.000 0.000
0.250 0.250 0.500
0.250 0.750 0.500
0.750 0.250 0.500
0.750 0.750 0.500
```

Computed properties:
The total energy is -20.70 eV per atom. The value obtained for the formation energy is -0.261 eV per atom.

This record from Alexandria via LeMat-Bulk describes a PBEsol-optimized structure of SrBeAl2Ru. The functional is meta-GGA SCAN.

Cell and atoms, written as POSCAR:
```
SrBeAl2Ru
1.0
4.709 0.000 0.000
0.000 4.709 0.000
0.000 0.000 5.498
Sr Be Al Ru
1 1 2 1
direct
0.000 0.000 0.000
0.500 0.500 0.000
0.000 0.500 0.500
0.500 0.000 0.500
0.000 0.000 0.500
```

Computed properties:
The total energy is -14.92 eV per atom. The value obtained for the formation energy is 0.469 eV per atom.